A relaxed structure of Pa2Nb2O5, computed with PBE-GGA.

Space-group type: P4/mmm, No. 123
Total DFT energy (no corrections), eV/atom: -8.2818

Lattice parameters (Å, degrees): 4.1082 4.1082 8.2568 90.00 90.00 90.00
Closest atoms and distances in Å follow each position.
Atoms (fractional coordinates):
1 Pa 0.0000 0.0000 0.2377  5 O 2.17-2.21
2 Pa 0.0000 0.0000 0.7623  5 O 2.17-2.21
3 Nb 0.5000 0.5000 0.0000  8 O 3.45, 8 Pa 3.51
4 Nb 0.5000 0.5000 0.5000  8 O 2.46
5 O 0.0000 0.0000 0.5000  2 Pa 2.17
6 O 0.0000 0.5000 0.3363  2 Pa 2.21, 2 O 2.46, 2 Nb 2.46
7 O 0.0000 0.5000 0.6637  2 Pa 2.21, 2 O 2.46, 2 Nb 2.46
8 O 0.5000 0.0000 0.3363  2 Pa 2.21, 2 O 2.46, 2 Nb 2.46
9 O 0.5000 0.0000 0.6637  2 Pa 2.21, 2 O 2.46, 2 Nb 2.46